Entry 1:
{"formula": "TbErCl3", "functional": "GGA-PBE", "state": "relaxed", "cell": [[8.196, -1.903, 0.000], [8.196, 1.903, 0.000], [-5.535, 0.000, 9.004]], "species": ["Tb", "Tb", "Er", "Er", "Cl", "Cl", "Cl", "Cl", "Cl", "Cl"], "fractional_positions": [[0.139, 0.139, 0.289], [0.861, 0.861, 0.711], [0.420, 0.420, 0.046], [0.580, 0.580, 0.954], [0.039, 0.039, 0.745], [0.217, 0.217, 0.116], [0.336, 0.336, 0.493], [0.664, 0.664, 0.507], [0.783, 0.783, 0.884], [0.961, 0.961, 0.255]], "total_magnetization_mub_per_cell": 0.0, "spacegroup": "C2/m", "raw_formation_energy_mev_per_atom": -1827.8, "mass_density_g_cm3": 5.12}

=====

Entry 2:
{"formula": "TbErCl", "functional": "GGA-PBE", "state": "relaxed", "cell": [[3.635, 0.000, 0.000], [1.818, 3.148, 0.000], [1.691, 0.373, 16.300]], "species": ["Tb", "Tb", "Er", "Er", "Cl", "Cl"], "fractional_positions": [[0.000, 0.000, 0.000], [0.121, 0.271, 0.523], [0.596, 0.645, 0.175], [0.860, 0.958, 0.346], [0.712, 0.680, 0.888], [0.742, 0.924, 0.635]], "relative_energy_mev_per_atom": 0.0, "total_magnetization_mub_per_cell": 0.0, "spacegroup": "P1", "n_ef_per_ev_cell": 4.66, "raw_formation_energy_mev_per_atom": -938.7, "mass_density_g_cm3": 6.44}